No. 1
An optimized crystal structure of Ac2MnBiSe5. Source: Alexandria, functional PBE.

```
Ac2MnBiSe5
1.0
2.136 -8.905 0.000
2.136 8.905 0.000
0.000 0.000 13.271
Ac Mn Bi Se
4 2 2 10
Cartesian
2.136 6.770 6.636
2.136 6.700 2.009
2.136 -6.700 8.645
2.136 -6.770 0.000
2.136 1.209 3.250
2.136 -1.209 9.885
2.136 5.865 11.117
2.136 -5.865 4.481
2.136 8.738 10.893
2.136 3.579 6.693
2.136 3.419 2.034
2.136 2.877 10.964
2.136 0.048 7.637
2.136 -0.048 1.001
2.136 -2.877 4.328
2.136 -3.419 8.670
2.136 -3.579 0.058
2.136 -8.738 4.257
```

Summary:
Uncorrected formation energy, meV/atom: -1229
Total moment, μB per formula unit: 4.008
E_tot, eV per atom: -5.527

***

No. 2
An optimized crystal structure of AcMnBiSe4. Source: Alexandria, functional PBE.

```
AcMnBiSe4
1.0
6.998 0.000 0.000
0.000 7.200 0.000
-2.451 0.000 7.971
Ac Mn Bi Se
2 2 2 8
Cartesian
1.466 1.800 0.487
3.080 5.400 7.485
0.812 5.400 2.467
3.735 1.800 5.505
0.317 1.800 4.497
4.230 5.400 3.475
-1.702 3.677 5.987
-1.702 7.123 5.987
2.811 5.400 0.985
1.697 5.400 4.772
2.850 1.800 3.199
1.736 1.800 6.987
6.249 0.077 1.984
6.249 3.523 1.984
```

Summary:
Uncorrected formation energy, meV/atom: -876
Total moment, μB per formula unit: 4.994
E_tot, eV per atom: -5.318

***

No. 3
An optimized crystal structure of Ac2MnBiSe6. Source: Alexandria, functional PBE.

```
Ac2MnBiSe6
1.0
7.045 0.000 0.000
0.000 7.867 0.000
-7.035 0.000 10.182
Ac Mn Bi Se
4 2 2 12
Cartesian
-0.294 0.827 2.515
-3.812 3.107 7.606
3.821 4.760 2.576
0.303 7.040 7.667
-3.518 0.000 5.091
0.000 3.933 0.000
3.522 0.000 0.000
0.005 3.933 5.091
-5.901 1.553 9.581
-2.384 2.381 4.490
-4.871 5.269 9.666
-1.354 6.531 4.575
-2.635 0.235 7.445
0.883 3.699 2.354
-0.873 4.168 7.828
2.644 7.632 2.737
1.363 1.336 5.607
4.881 2.598 0.516
2.393 5.486 5.692
5.911 6.314 0.601
```

Summary:
Uncorrected formation energy, meV/atom: -1192
Total moment, μB per formula unit: 3.996
E_tot, eV per atom: -5.409

***

No. 4
An optimized crystal structure of Ac3BiMo. Source: Alexandria, functional PBE.

```
Ac3BiMo
1.0
5.715 0.000 0.000
0.000 5.715 0.000
0.000 0.000 5.715
Ac Bi Mo
3 1 1
Cartesian
0.000 0.000 2.857
0.000 2.857 0.000
2.857 0.000 0.000
2.857 2.857 2.857
0.000 0.000 0.000
```

Summary:
Total moment, μB per formula unit: 0.000
E_tot, eV per atom: -5.422
ΔE_f, kJ/mol of atoms: -1.4